[1]
! LiYF2 | Alexandria | PBE | optimized geometry; values from VASP
! * density of states at the Fermi level: 0.00 states/eV/cell
! * distance to the lowest polymorph of the same formula: 0.0 meV per atom
! * DFT total energy: -22.49 eV per cell
&SYSTEM
  ibrav = 0, nat = 4, ntyp = 3
/
ATOMIC_SPECIES
Li 6.94 Li.upf
Y 88.91 Y.upf
F 19.00 F.upf
ATOMIC_POSITIONS crystal
Li 0.0000 0.0000 0.0000
Y 0.5000 0.5000 0.5000
F 0.3867 0.3867 0.3867
F 0.6133 0.6133 0.6133
CELL_PARAMETERS angstrom
1.7154 0.9904 6.4169
-1.7154 0.9904 6.4169
0.0000 -1.9807 6.4169

[2]
! Li2YZnF | Alexandria | PBE | optimized geometry; values from VASP
! * density of states at the Fermi level: 2.95 states/eV/cell
! * DFT total energy: -18.94 eV per cell
&SYSTEM
  ibrav = 0, nat = 5, ntyp = 4
/
ATOMIC_SPECIES
Li 6.94 Li.upf
Y 88.91 Y.upf
Zn 65.41 Zn.upf
F 19.00 F.upf
ATOMIC_POSITIONS crystal
Li 0.0000 0.5000 0.0000
Li 0.5000 0.0000 0.0000
Y 0.0000 0.0000 0.5000
Zn 0.5000 0.5000 0.5000
F 0.0000 0.0000 0.0000
CELL_PARAMETERS angstrom
4.1487 0.0000 0.0000
0.0000 4.1487 0.0000
0.0000 0.0000 4.9587

[3]
! LiYbF2 | Alexandria | PBE | optimized geometry; values from VASP
! * density of states at the Fermi level: 55.37 states/eV/cell
! * DFT total energy: -69.02 eV per cell
&SYSTEM
  ibrav = 0, nat = 16, ntyp = 3
/
ATOMIC_SPECIES
Li 6.94 Li.upf
Yb 173.04 Yb.upf
F 19.00 F.upf
ATOMIC_POSITIONS crystal
Li 0.0000 0.0000 0.0000
Li 0.0000 0.0000 0.5000
Li 0.0000 0.5000 0.0000
Li 0.5000 0.0000 0.5000
Yb 0.0000 0.5000 0.5000
Yb 0.5000 0.0000 0.0000
Yb 0.5000 0.5000 0.0000
Yb 0.5000 0.5000 0.5000
F 0.1993 0.6941 0.5052
F 0.3059 0.3111 0.5052
F 0.3059 0.8007 0.9948
F 0.3111 0.3059 0.0052
F 0.6889 0.6941 0.9948
F 0.6941 0.1993 0.0052
F 0.6941 0.6889 0.4948
F 0.8007 0.3059 0.4948
CELL_PARAMETERS angstrom
-3.2921 3.2921 6.2808
3.2921 -3.2921 6.2808
3.2921 3.2921 -6.2808

[4]
! Li2ZnF4 | Alexandria | PBE | optimized geometry; values from VASP
! * density of states at the Fermi level: 0.00 states/eV/cell
! * distance to the lowest polymorph of the same formula: 0.0 meV per atom
! * DFT total energy: -31.31 eV per cell
&SYSTEM
  ibrav = 0, nat = 7, ntyp = 3
/
ATOMIC_SPECIES
Li 6.94 Li.upf
Zn 65.41 Zn.upf
F 19.00 F.upf
ATOMIC_POSITIONS crystal
Li 0.1638 0.1638 0.0736
Li 0.8362 0.8362 0.9264
Zn 0.5000 0.5000 0.5000
F 0.0820 0.0820 0.3467
F 0.3515 0.3515 0.1357
F 0.6485 0.6485 0.8643
F 0.9180 0.9180 0.6533
CELL_PARAMETERS angstrom
5.4051 -1.6006 0.0000
5.4051 1.6006 0.0000
-1.5467 0.0000 4.8174

[5]
! Li6ZnF12 | Alexandria | PBE | optimized geometry; values from VASP
! * density of states at the Fermi level: 5.81 states/eV/cell
! * DFT total energy: -76.14 eV per cell
&SYSTEM
  ibrav = 0, nat = 19, ntyp = 3
/
ATOMIC_SPECIES
Li 6.94 Li.upf
Zn 65.41 Zn.upf
F 19.00 F.upf
ATOMIC_POSITIONS crystal
Li 0.1135 0.5733 0.2345
Li 0.2345 0.1135 0.5733
Li 0.4267 0.7655 0.8865
Li 0.5733 0.2345 0.1135
Li 0.7655 0.8865 0.4267
Li 0.8865 0.4267 0.7655
Zn 0.0000 0.0000 0.0000
F 0.0775 0.6886 0.9217
F 0.0783 0.9225 0.3114
F 0.1564 0.4459 0.5267
F 0.3114 0.0783 0.9225
F 0.4459 0.5267 0.1564
F 0.4733 0.8436 0.5541
F 0.5267 0.1564 0.4459
F 0.5541 0.4733 0.8436
F 0.6886 0.9217 0.0775
F 0.8436 0.5541 0.4733
F 0.9217 0.0775 0.6886
F 0.9225 0.3114 0.0783
CELL_PARAMETERS angstrom
4.3386 2.5049 3.2164
-4.3386 2.5049 3.2164
0.0000 -5.0098 3.2164

[6]
! Li3ZnF6 | Alexandria | PBE | optimized geometry; values from VASP
! * density of states at the Fermi level: 5.76 states/eV/cell
! * DFT total energy: -42.73 eV per cell
&SYSTEM
  ibrav = 0, nat = 10, ntyp = 3
/
ATOMIC_SPECIES
Li 6.94 Li.upf
Zn 65.41 Zn.upf
F 19.00 F.upf
ATOMIC_POSITIONS crystal
Li 0.0000 0.0000 0.0000
Li 0.2052 0.2052 0.2052
Li 0.4939 0.4939 0.4939
Zn 0.6963 0.6963 0.6963
F 0.0858 0.4201 0.7974
F 0.3004 0.9062 0.6035
F 0.4201 0.7974 0.0858
F 0.6035 0.3004 0.9062
F 0.7974 0.0858 0.4201
F 0.9062 0.6035 0.3004
CELL_PARAMETERS angstrom
2.5460 1.4699 4.6182
-2.5460 1.4699 4.6182
0.0000 -2.9399 4.6182

Number 1: uncorrected formation energy -2.59 eV/atom. Number 2: uncorrected formation energy -1.10 eV/atom. Number 3: uncorrected formation energy -2.52 eV/atom. Number 4: uncorrected formation energy -2.68 eV/atom. Number 5: uncorrected formation energy -2.15 eV/atom. Number 6: uncorrected formation energy -2.45 eV/atom.